BaInHg2I4 | PBE | relaxed

Unit cell a=7.1333 b=7.1736 c=8.1202 alpha=67.04 beta=64.13 gamma=80.38
Space group P1 (No. 1)
Inequivalent atoms, fractional coordinates:
Ba (0.0000, 0.0000, 0.0000)
In (0.4116, 0.5222, 0.5060)
Hg (0.5835, 0.3552, 0.0080)
Hg (0.6101, 0.1608, 0.6679)
I (0.0951, 0.2213, 0.5151)
I (0.1033, 0.5282, 0.9105)
I (0.4608, 0.8283, 0.0966)
I (0.7240, 0.8005, 0.4941)

Values from the calculation:
formation energy (no corrections)	-0.744	eV/atom
calculated total energy	-17.4	eV for the cell shown
crystal system	triclinic